Density functional theory data (PBE-GGA) for a relaxed NaGe2Au crystal.

Summary:
Theoretical density   8.0 g cm⁻³
Calculated total energy   -13.701 eV per formula unit
ΔH_f (0 K)   0.032 eV per atom

Unit cell a=4.7590 b=4.7590 c=4.7590 alpha=60.00 beta=60.00 gamma=60.00
Fractional positions:
Au (0.5000, 0.5000, 0.5000)
Ge (0.7500, 0.7500, 0.7500)
Ge (0.2500, 0.2500, 0.2500)
Na (0.0000, 0.0000, 0.0000)

Density functional theory data (PBE-GGA) for a relaxed Na3Ge2Au4 crystal.

Summary:
Energy above the lowest structure with this stoichiometry   0.28 eV/f.u.
Theoretical density   8.0 g cm⁻³
Calculated total energy   -28.334 eV per formula unit
ΔH_f (0 K)   -0.226 eV per atom

Unit cell a=4.5243 b=5.7800 c=8.7655 alpha=99.47 beta=90.00 gamma=113.04
Fractional positions:
Na (0.3784, 0.7568, 0.6071)
Na (0.0000, 0.0000, 0.0000)
Na (0.6216, 0.2432, 0.3929)
Au (0.2729, 0.5458, 0.9070)
Au (0.9104, 0.8208, 0.3711)
Au (0.0896, 0.1792, 0.6289)
Au (0.7271, 0.4542, 0.0930)
Ge (0.3341, 0.6683, 0.2121)
Ge (0.6659, 0.3317, 0.7879)

Density functional theory data (PBE-GGA) for a relaxed Na3Ge5Au2 crystal.

Summary:
Theoretical density   6.1 g cm⁻³
Calculated total energy   -34.937 eV per formula unit
ΔH_f (0 K)   -0.134 eV per atom

Unit cell a=6.2485 b=9.1113 c=9.1113 alpha=75.95 beta=69.95 gamma=69.95
Fractional positions:
Ge (0.6297, 0.2495, 0.4910)
Ge (0.9888, 0.7612, 0.7612)
Ge (0.5112, 0.2388, 0.2388)
Ge (0.0112, 0.2388, 0.2388)
Ge (0.1297, 0.4910, 0.2495)
Ge (0.7500, 0.5000, 0.5000)
Ge (0.8703, 0.5090, 0.7505)
Ge (0.3703, 0.7505, 0.5090)
Ge (0.2500, 0.5000, 0.5000)
Ge (0.4888, 0.7612, 0.7612)
Na (0.3813, 0.3777, 0.8597)
Na (0.1187, 0.1403, 0.6223)
Na (0.7500, 0.0000, 0.0000)
Na (0.8813, 0.8597, 0.3777)
Na (0.6187, 0.6223, 0.1403)
Na (0.2500, 0.0000, 0.0000)
Au (0.1486, 0.6955, 0.0074)
Au (0.3514, 0.9926, 0.3045)
Au (0.8514, 0.3045, 0.9926)
Au (0.6486, 0.0074, 0.6955)

Density functional theory data (PBE-GGA) for a relaxed Na3Ge2Au2 crystal.

Summary:
Theoretical density   5.7 g cm⁻³
Calculated total energy   -21.131 eV per formula unit
ΔH_f (0 K)   -0.198 eV per atom

Unit cell a=4.0911 b=5.7399 c=11.8268 alpha=133.17 beta=90.00 gamma=110.88
Fractional positions:
Na (0.2630, 0.5261, 0.3798)
Na (0.7370, 0.4739, 0.6202)
Na (0.5000, 0.0000, 0.0000)
Ge (0.8456, 0.6913, 0.0829)
Ge (0.1544, 0.3087, 0.9171)
Au (0.0519, 0.1037, 0.6459)
Au (0.9481, 0.8963, 0.3541)